Entry from Alexandria: a relaxed structure of Y2FeOs (PBE).

- total DFT energy (no corrections) (eV per atom) = -8.029
- total moment (Bohr magnetons per cell) = 2.0
- formation enthalpy at 0 K (eV per atom) = 0.126

Cell lengths 3.192, 3.192, 8.421 Å; angles 90.00, 90.00, 90.02 degrees
Site moments in Bohr magnetons follow the coordinates.
Atoms (fractional coordinates):
Fe (0.000, 0.000, 0.556)  2.29
Os (0.500, 0.500, 0.695)  0.17
Y (0.000, 0.000, 0.930)  -0.06
Y (0.500, 0.500, 0.319)  -0.23